Here is ZrSb2Se after structural relaxation from Alexandria. Energies are from PBE.

As for the density of states at the Fermi level: 2.82 states/eV/cell. The value obtained for the volume is 24.3 A^3/atom. The value obtained for the total energy is -21.0 eV for the cell shown.

It has space group P4/mmm (No. 123), with a = 4.111 Å, b = 4.111 Å, c = 5.754 Å, α = 90.00°, β = 90.00° and γ = 90.00°. The inequivalent atoms are Zr at (0.000, 0.000, 0.000), Sb at (0.000, 0.500, 0.500) and Se at (0.500, 0.500, 0.000).